(1)
Sm8CoOs2 | GGA-PBE | optimized geometry

POSCAR file:
```
Sm8CoOs2
1.0
4.228 -6.341 0.000
4.228 6.341 0.000
-2.168 0.000 5.727
Sm Co Os
8 1 2
Cartesian
0.000 0.000 0.000 Sm
-0.090 1.665 3.403 Sm
2.615 2.597 1.095 Sm
-0.090 -1.665 3.403 Sm
3.015 1.648 4.641 Sm
2.615 -2.597 1.095 Sm
3.015 -1.648 4.641 Sm
5.180 0.000 2.247 Sm
2.923 0.000 0.241 Co
1.458 3.930 4.027 Os
1.458 -3.930 4.027 Os
```

Properties
Energy of formation in meV/atom: -16
Magnetic moment in μB/atom: 0.000

(2)
SmCoOs | GGA-PBE | optimized geometry

POSCAR file:
```
SmCoOs
1.0
4.025 0.000 0.000
-2.013 3.486 0.000
0.000 0.000 4.242
Sm Co Os
1 1 1
Cartesian
0.000 0.000 0.000 Sm
0.000 2.324 2.121 Co
2.013 1.162 2.121 Os
```

Properties
Energy of formation in meV/atom: 0
Magnetic moment in μB/atom: 0.316
Offset from the most stable computed form in kJ/mol of atoms: 14.7

(3)
Sm5Co2Os | GGA-PBE | optimized geometry

POSCAR file:
```
Sm5Co2Os
1.0
-3.623 3.623 7.228
3.623 -3.623 7.228
3.623 3.623 -7.228
Sm Co Os
10 4 2
Cartesian
0.000 0.000 0.000 Sm
4.923 1.300 -2.068 Sm
1.300 2.322 -2.068 Sm
4.923 1.300 2.068 Sm
1.300 2.322 2.068 Sm
0.000 0.000 7.228 Sm
2.322 1.300 5.160 Sm
-1.300 2.322 5.160 Sm
2.322 1.300 9.296 Sm
-1.300 2.322 9.296 Sm
2.826 0.797 0.000 Co
2.826 -0.797 7.228 Co
0.797 4.420 0.000 Co
0.797 2.826 7.228 Co
0.000 0.000 3.614 Os
0.000 0.000 10.842 Os
```

Properties
Energy of formation in meV/atom: -122
Magnetic moment in μB/atom: 0.000

Question: Number 3 is which compound?
Answer: Sm5Co2Os